1.
A crystal of Tb4BClO7 relaxed with PBEsol. Source: Alexandria via LeMat-Bulk, functional meta-GGA SCAN.

Computed properties:
ΔE_f (raw): -349 kJ/mol of atoms
final energy: -1172.48 eV/cell
SG: P2_1/c (14)

a = 8.0016 Å, b = 8.5805 Å, c = 10.8032 Å
α = 77.51°, β = 90.00°, γ = 90.00°
Sites, in units of the cell vectors:
O (0.8627, 0.4165, 0.2742)
O (0.6223, 0.0577, 0.4036)
O (0.7092, 0.7509, 0.3669)
O (0.1223, 0.4423, 0.0964)
O (0.6215, 0.4793, 0.0925)
O (0.1215, 0.0207, 0.4075)
O (0.2908, 0.2491, 0.6331)
O (0.9963, 0.2680, 0.6659)
O (0.3822, 0.3967, 0.2821)
O (0.5037, 0.7680, 0.1659)
O (0.8888, 0.6811, 0.5435)
O (0.8822, 0.1033, 0.2179)
O (0.3785, 0.5207, 0.9075)
O (0.1112, 0.3189, 0.4565)
O (0.3888, 0.8189, 0.9565)
O (0.7908, 0.2509, 0.8669)
O (0.3627, 0.0835, 0.2258)
O (0.3777, 0.9423, 0.5964)
O (0.6112, 0.1811, 0.0435)
O (0.1373, 0.5835, 0.7258)
O (0.6178, 0.6033, 0.7179)
O (0.1178, 0.8967, 0.7821)
O (0.8777, 0.5577, 0.9036)
O (0.0037, 0.7320, 0.3341)
O (0.4963, 0.2320, 0.8341)
O (0.2092, 0.7491, 0.1331)
O (0.6373, 0.9165, 0.7742)
O (0.8785, 0.9793, 0.5925)
Cl (0.6496, 0.3519, 0.5323)
Cl (0.3504, 0.6481, 0.4677)
Cl (0.8504, 0.8519, 0.0323)
Cl (0.1496, 0.1481, 0.9677)
B (0.1313, 0.2815, 0.5864)
B (0.3687, 0.7815, 0.0864)
B (0.6313, 0.2185, 0.9136)
B (0.8687, 0.7185, 0.4136)
Tb (0.3824, 0.3325, 0.0901)
Tb (0.1391, 0.6521, 0.9208)
Tb (0.8862, 0.0383, 0.7811)
Tb (0.8824, 0.1675, 0.4099)
Tb (0.8609, 0.3479, 0.0792)
Tb (0.3609, 0.1521, 0.4208)
Tb (0.1138, 0.9617, 0.2189)
Tb (0.6138, 0.5383, 0.2811)
Tb (0.6176, 0.6675, 0.9099)
Tb (0.3753, 0.0186, 0.7796)
Tb (0.8753, 0.4814, 0.7204)
Tb (0.6247, 0.9814, 0.2204)
Tb (0.1247, 0.5186, 0.2796)
Tb (0.3862, 0.4617, 0.7189)
Tb (0.1176, 0.8325, 0.5901)
Tb (0.6391, 0.8479, 0.5792)


2.
A crystal of BPOsCl2 relaxed with PBEsol. Source: Alexandria via LeMat-Bulk, functional meta-GGA SCAN.

Computed properties:
ΔE_f (raw): 151 kJ/mol of atoms
final energy: -97.83 eV/cell
SG: P4/mmm (123)

a = 4.0536 Å, b = 4.0536 Å, c = 4.1450 Å
α = 90.00°, β = 90.00°, γ = 90.00°
Sites, in units of the cell vectors:
Os (0.5000, 0.5000, 0.5000)
Cl (0.5000, 0.0000, 0.0000)
Cl (0.0000, 0.5000, 0.0000)
B (0.0000, 0.0000, 0.0000)
P (0.0000, 0.0000, 0.5000)


3.
A crystal of RbB2OsCl relaxed with PBEsol. Source: Alexandria via LeMat-Bulk, functional meta-GGA SCAN.

Computed properties:
ΔE_f (raw): 22 kJ/mol of atoms
final energy: -114.33 eV/cell
SG: P4/mmm (123)

a = 4.1409 Å, b = 4.1409 Å, c = 5.2581 Å
α = 90.00°, β = 90.00°, γ = 90.00°
Sites, in units of the cell vectors:
B (0.5000, 0.0000, 0.0000)
B (0.0000, 0.5000, 0.0000)
Os (0.0000, 0.0000, 0.0000)
Cl (0.0000, 0.0000, 0.5000)
Rb (0.5000, 0.5000, 0.5000)


4.
A crystal of BOsRu2Cl relaxed with PBEsol. Source: Alexandria via LeMat-Bulk, functional meta-GGA SCAN.

Computed properties:
ΔE_f (raw): 103 kJ/mol of atoms
final energy: -151.61 eV/cell
SG: P4/mmm (123)

a = 4.0934 Å, b = 4.0981 Å, c = 4.0981 Å
α = 90.00°, β = 90.00°, γ = 90.00°
Each line ends with the local moment (μB).
Sites, in units of the cell vectors:
Cl (0.5000, 0.5000, 0.5000)  0.23
B (0.0000, 0.0000, 0.0000)  -0.08
Ru (0.0000, 0.5000, 0.0000)  0.99
Ru (0.0000, 0.0000, 0.5000)  0.99
Os (0.5000, 0.0000, 0.0000)  0.77


5.
A crystal of TiBOsCl2 relaxed with PBEsol. Source: Alexandria via LeMat-Bulk, functional meta-GGA SCAN.

Computed properties:
ΔE_f (raw): 101 kJ/mol of atoms
final energy: -106.04 eV/cell
SG: P4/mmm (123)

a = 4.1056 Å, b = 4.1056 Å, c = 4.4893 Å
α = 90.00°, β = 90.00°, γ = 90.00°
Each line ends with the local moment (μB).
Sites, in units of the cell vectors:
B (0.0000, 0.0000, 0.0000)  0.03
Cl (0.5000, 0.0000, 0.0000)  -0.08
Cl (0.0000, 0.5000, 0.0000)  -0.08
Os (0.0000, 0.0000, 0.5000)  -1.23
Ti (0.5000, 0.5000, 0.5000)  1.32


6.
A crystal of BP2PtCl relaxed with PBEsol. Source: Alexandria via LeMat-Bulk, functional meta-GGA SCAN.

Computed properties:
ΔE_f (raw): 135 kJ/mol of atoms
final energy: -99.40 eV/cell
SG: P4/mmm (123)

a = 4.5430 Å, b = 4.5430 Å, c = 5.0948 Å
α = 90.00°, β = 90.00°, γ = 90.00°
Sites, in units of the cell vectors:
Cl (0.0000, 0.0000, 0.5000)
P (0.5000, 0.0000, 0.0000)
P (0.0000, 0.5000, 0.0000)
Pt (0.0000, 0.0000, 0.0000)
B (0.5000, 0.5000, 0.5000)


7.
A crystal of BP2PtCl relaxed with PBEsol. Source: Alexandria via LeMat-Bulk, functional meta-GGA SCAN.

Computed properties:
ΔE_f (raw): 93 kJ/mol of atoms
final energy: -101.60 eV/cell
SG: P4/mmm (123)

a = 4.0038 Å, b = 4.1402 Å, c = 4.1402 Å
α = 90.00°, β = 90.00°, γ = 90.00°
Sites, in units of the cell vectors:
B (0.0000, 0.0000, 0.0000)
P (0.0000, 0.5000, 0.0000)
P (0.0000, 0.0000, 0.5000)
Pt (0.5000, 0.5000, 0.5000)
Cl (0.5000, 0.0000, 0.0000)


8.
A crystal of BP2RhCl relaxed with PBEsol. Source: Alexandria via LeMat-Bulk, functional meta-GGA SCAN.

Computed properties:
ΔE_f (raw): 92 kJ/mol of atoms
final energy: -65.19 eV/cell
SG: P4/mmm (123)

a = 3.9931 Å, b = 3.9931 Å, c = 4.2148 Å
α = 90.00°, β = 90.00°, γ = 90.00°
Sites, in units of the cell vectors:
Cl (0.0000, 0.0000, 0.5000)
B (0.0000, 0.0000, 0.0000)
P (0.0000, 0.5000, 0.0000)
P (0.5000, 0.0000, 0.0000)
Rh (0.5000, 0.5000, 0.5000)


> What is the formula in the second record?

BPOsCl2